Compound: CaBi5Rh3
Source: Alexandria via LeMat-Bulk
Functional: PBE
Structure: optimized geometry

* calculated total energy: -4.99 eV per atom
* symmetry: C2/m (12)

a b c (Å): 7.563 7.563 10.047
angles (deg): 70.91 70.91 72.22
Element x y z (fractional)
Ca (0.902, 0.902, 0.299)
Ca (0.098, 0.098, 0.701)
Bi (0.422, 0.422, 0.377)
Bi (0.700, 0.300, 0.000)
Bi (0.966, 0.377, 0.360)
Bi (0.232, 0.232, 0.973)
Bi (0.377, 0.966, 0.360)
Bi (0.300, 0.700, 0.000)
Bi (0.034, 0.623, 0.640)
Bi (0.578, 0.578, 0.623)
Bi (0.623, 0.034, 0.640)
Bi (0.768, 0.768, 0.027)
Rh (0.000, 0.000, 0.000)
Rh (0.669, 0.669, 0.830)
Rh (0.343, 0.343, 0.685)
Rh (0.657, 0.657, 0.315)
Rh (0.331, 0.331, 0.170)
Rh (0.000, 0.000, 0.500)


Compound: KCd6Pt
Source: Alexandria via LeMat-Bulk
Functional: PBE
Structure: optimized geometry

* calculated total energy: -1.67 eV per atom
* symmetry: R-3m (166)

a b c (Å): 4.843 4.843 10.920
angles (deg): 77.19 77.19 60.00
Element x y z (fractional)
Cd (0.088, 0.088, 0.737)
Cd (0.355, 0.355, 0.934)
Cd (0.912, 0.912, 0.263)
Cd (0.645, 0.645, 0.066)
Cd (0.249, 0.249, 0.253)
Cd (0.751, 0.751, 0.747)
Pt (0.000, 0.000, 0.000)
K (0.500, 0.500, 0.500)


Compound: TiNbFe4
Source: Alexandria via LeMat-Bulk
Functional: PBE
Structure: optimized geometry

* calculated total energy: -8.85 eV per atom
* symmetry: F-43m (216)
* distance to the lowest polymorph of the same formula: 0.00 eV per formula unit

a b c (Å): 4.801 4.801 4.801
angles (deg): 60.00 60.00 60.00
Each line ends with the local moment (μB).
Element x y z (fractional)
Fe (0.625, 0.625, 0.124)  1.70
Fe (0.124, 0.625, 0.625)  1.70
Fe (0.625, 0.124, 0.625)  1.70
Fe (0.625, 0.625, 0.625)  1.70
Ti (0.000, 0.000, 0.000)  -0.55
Nb (0.250, 0.250, 0.250)  -0.56


Compound: Ca2NpInN4
Source: Alexandria via LeMat-Bulk
Functional: PBE
Structure: optimized geometry

* calculated total energy: -7.45 eV per atom
* symmetry: P2/m (10)
* E_form (uncorrected): -823 meV/atom

a b c (Å): 3.490 5.735 6.003
angles (deg): 107.91 90.00 90.00
Each line ends with the local moment (μB).
Element x y z (fractional)
In (0.000, 0.000, 0.000)  0.00
Ca (0.000, 0.500, 0.500)  0.01
Ca (0.500, 0.000, 0.500)  0.00
N (0.000, 0.731, 0.227)  -0.08
N (0.500, 0.736, 0.777)  -0.07
N (0.000, 0.269, 0.773)  -0.08
N (0.500, 0.264, 0.223)  -0.07
Np (0.500, 0.500, 0.000)  2.29


> calculated total energy of number 4 (Ca2NpInN4)?

-7.45 eV per atom